(1)
The following is a DFT calculation (PBEsol) of a relaxed DyCl3 crystal.

Total DFT energy (no corrections)   -40.28 eV/cell
Space group   Cmcm

Unit cell a=3.7442 b=6.4682 c=8.3573 alpha=90.00 beta=90.00 gamma=106.82
Closest atoms and distances in Å follow each position.
Fractional positions:
Dy 0.7589 0.5177 0.2500  8 Cl 2.63-2.86
Dy 0.2411 0.4823 0.7500  8 Cl 2.63-2.86
Cl 0.1532 0.3065 0.4331  3 Dy 2.75-2.86, 1 Cl 3.06
Cl 0.8468 0.6935 0.5669  3 Dy 2.75-2.86, 1 Cl 3.06
Cl 0.5922 0.1845 0.7500  2 Dy 2.63
Cl 0.4078 0.8155 0.2500  2 Dy 2.63
Cl 0.1532 0.3065 0.0669  3 Dy 2.75-2.86, 1 Cl 3.06
Cl 0.8468 0.6935 0.9331  3 Dy 2.75-2.86, 1 Cl 3.06

***

(2)
The following is a DFT calculation (PBEsol) of a relaxed KDy2Cl7 crystal.

Total DFT energy (no corrections)   -190.61 eV/cell
Space group   P2_1/c

Unit cell a=6.8353 b=12.3625 c=12.9265 alpha=90.00 beta=88.18 gamma=90.00
Closest atoms and distances in Å follow each position.
Fractional positions:
K 0.3037 0.2121 0.9709  7 Cl 3.19-3.55
K 0.6963 0.7121 0.5291  7 Cl 3.19-3.55
K 0.6963 0.7879 0.0291  7 Cl 3.19-3.55
K 0.3037 0.2879 0.4709  7 Cl 3.19-3.55
Dy 0.2182 0.8387 0.7558  7 Cl 2.66-2.70
Dy 0.7818 0.3387 0.7442  7 Cl 2.66-2.70
Dy 0.7818 0.1613 0.2442  7 Cl 2.66-2.70
Dy 0.2182 0.6613 0.2558  7 Cl 2.66-2.70
Dy 0.2813 0.5349 0.7605  7 Cl 2.66-2.73
Dy 0.7187 0.0349 0.7395  7 Cl 2.66-2.73
Dy 0.7187 0.4651 0.2395  7 Cl 2.66-2.73
Dy 0.2813 0.9651 0.2605  7 Cl 2.66-2.73
Cl 0.2462 0.6849 0.6072  2 Dy 2.70-2.73
Cl 0.7538 0.1849 0.8928  2 Dy 2.70-2.73
Cl 0.7538 0.3151 0.3928  2 Dy 2.70-2.73
Cl 0.2462 0.8151 0.1072  2 Dy 2.70-2.73
Cl 0.5035 0.7043 0.8162  2 Dy 2.70
Cl 0.4965 0.2043 0.6838  2 Dy 2.70
Cl 0.4965 0.2957 0.1838  2 Dy 2.70
Cl 0.5035 0.7957 0.3162  2 Dy 2.70
Cl 0.0170 0.6731 0.8373  2 Dy 2.66
Cl 0.9830 0.1731 0.6627  2 Dy 2.66
Cl 0.9830 0.3269 0.1627  2 Dy 2.66
Cl 0.0170 0.8269 0.3373  2 Dy 2.66
Cl 0.4686 0.9308 0.6200  2 Dy 2.67
Cl 0.5314 0.4308 0.8800  2 Dy 2.67
Cl 0.5314 0.0692 0.3800  2 Dy 2.67
Cl 0.4686 0.5692 0.1200  2 Dy 2.67
Cl 0.9497 0.9033 0.6245  2 Dy 2.66-2.68
Cl 0.0503 0.4033 0.8755  2 Dy 2.66-2.68
Cl 0.0503 0.0967 0.3755  2 Dy 2.66-2.68
Cl 0.9497 0.5967 0.1245  2 Dy 2.66-2.68
Cl 0.4311 0.9720 0.8723  2 Dy 2.68-2.69
Cl 0.5689 0.4720 0.6277  2 Dy 2.68-2.69
Cl 0.5689 0.0280 0.1277  2 Dy 2.68-2.69
Cl 0.4311 0.5280 0.3723  2 Dy 2.68-2.69
Cl 0.9473 0.9395 0.8758  2 Dy 2.67-2.68
Cl 0.0527 0.4395 0.6242  2 Dy 2.67-2.68
Cl 0.0527 0.0605 0.1242  2 Dy 2.67-2.68
Cl 0.9473 0.5605 0.3758  2 Dy 2.67-2.68

***

(3)
The following is a DFT calculation (PBEsol) of a relaxed K2RbDyCl6 crystal.

Total DFT energy (no corrections)   -40.45 eV/cell
Space group   Fm-3m

Unit cell a=7.9528 b=7.9528 c=7.9528 alpha=60.00 beta=60.00 gamma=60.00
Closest atoms and distances in Å follow each position.
Fractional positions:
K 0.7500 0.7500 0.7500  12 Cl 3.98
K 0.2500 0.2500 0.2500  12 Cl 3.98
Rb 0.5000 0.5000 0.5000  6 Cl 3.03
Dy 0.0000 0.0000 0.0000  6 Cl 2.60
Cl 0.7692 0.2308 0.2308  1 Dy 2.60
Cl 0.7692 0.7692 0.2308  1 Dy 2.60
Cl 0.2308 0.7692 0.7692  1 Dy 2.60
Cl 0.7692 0.2308 0.7692  1 Dy 2.60
Cl 0.2308 0.7692 0.2308  1 Dy 2.60
Cl 0.2308 0.2308 0.7692  1 Dy 2.60

***

(4)
The following is a DFT calculation (PBEsol) of a relaxed Rb2LiDyCl6 crystal.

Total DFT energy (no corrections)   -42.04 eV/cell
Space group   Fm-3m

Unit cell a=7.2388 b=7.2388 c=7.2388 alpha=60.00 beta=60.00 gamma=60.00
Closest atoms and distances in Å follow each position.
Fractional positions:
Cl 0.7536 0.2464 0.2464  1 Li 2.52, 1 Dy 2.60
Cl 0.2464 0.2464 0.7536  1 Li 2.52, 1 Dy 2.60
Cl 0.2464 0.7536 0.2464  1 Li 2.52, 1 Dy 2.60
Cl 0.2464 0.7536 0.7536  1 Li 2.52, 1 Dy 2.60
Cl 0.7536 0.7536 0.2464  1 Li 2.52, 1 Dy 2.60
Cl 0.7536 0.2464 0.7536  1 Li 2.52, 1 Dy 2.60
Li 0.0000 0.0000 0.0000  6 Cl 2.52
Rb 0.2500 0.2500 0.2500  12 Cl 3.62
Rb 0.7500 0.7500 0.7500  12 Cl 3.62
Dy 0.5000 0.5000 0.5000  6 Cl 2.60

***

(5)
The following is a DFT calculation (PBEsol) of a relaxed Rb2NaDyCl6 crystal.

Total DFT energy (no corrections)   -41.32 eV/cell
Space group   Fm-3m

Unit cell a=7.4701 b=7.4701 c=7.4701 alpha=60.00 beta=60.00 gamma=60.00
Closest atoms and distances in Å follow each position.
Fractional positions:
Na 0.5000 0.5000 0.5000  6 Cl 2.69
Cl 0.7545 0.2455 0.2455  1 Dy 2.59, 1 Na 2.69
Cl 0.2455 0.7545 0.2455  1 Dy 2.59, 1 Na 2.69
Cl 0.2455 0.7545 0.7545  1 Dy 2.59, 1 Na 2.69
Cl 0.7545 0.2455 0.7545  1 Dy 2.59, 1 Na 2.69
Cl 0.2455 0.2455 0.7545  1 Dy 2.59, 1 Na 2.69
Cl 0.7545 0.7545 0.2455  1 Dy 2.59, 1 Na 2.69
Rb 0.2500 0.2500 0.2500  12 Cl 3.74
Rb 0.7500 0.7500 0.7500  12 Cl 3.74
Dy 0.0000 0.0000 0.0000  6 Cl 2.59

***

(6)
The following is a DFT calculation (PBEsol) of a relaxed DyTiClO3 crystal.

Total DFT energy (no corrections)   -99.64 eV/cell
Space group   C2/m

Unit cell a=3.8747 b=5.2414 c=9.7231 alpha=74.11 beta=78.51 gamma=68.31
Closest atoms and distances in Å follow each position.
Fractional positions:
Dy 0.7781 0.2408 0.2030  3 O 2.15-2.17
Dy 0.2219 0.7592 0.7970  3 O 2.15-2.17
Ti 0.6191 0.1914 0.5703  5 O 1.84-2.05
Ti 0.3809 0.8086 0.4297  5 O 1.84-2.05
Cl 0.1131 0.6776 0.0961  3 Dy 2.79-2.89, 1 O 3.09
Cl 0.8869 0.3224 0.9039  3 Dy 2.79-2.89, 1 O 3.09
O 0.1686 0.0967 0.5660  3 Ti 1.99-2.11
O 0.5781 0.4693 0.3744  2 Ti 1.84-2.05
O 0.6486 0.9511 0.7517  1 Ti 1.86
O 0.3514 0.0489 0.2483  1 Ti 1.86
O 0.8314 0.9033 0.4340  3 Ti 1.99-2.11
O 0.4219 0.5307 0.6256  2 Ti 1.84-2.05

***

(7)
The following is a DFT calculation (PBEsol) of a relaxed RbDy2Cl7 crystal.

Total DFT energy (no corrections)   -190.72 eV/cell
Space group   Pnma

Unit cell a=6.8558 b=12.4618 c=13.0737 alpha=90.00 beta=90.00 gamma=90.00
Closest atoms and distances in Å follow each position.
Fractional positions:
Rb 0.2500 0.1960 0.0404  10 Cl 3.43-3.59
Rb 0.7500 0.8040 0.9596  10 Cl 3.43-3.59
Rb 0.7500 0.6960 0.4596  10 Cl 3.43-3.59
Rb 0.2500 0.3040 0.5404  10 Cl 3.43-3.59
Dy 0.2500 0.6571 0.7470  7 Cl 2.66-2.70
Dy 0.7500 0.3429 0.2530  7 Cl 2.66-2.70
Dy 0.7500 0.1571 0.7530  7 Cl 2.66-2.70
Dy 0.2500 0.8429 0.2470  7 Cl 2.66-2.70
Dy 0.2500 0.5397 0.2379  7 Cl 2.67-2.74
Dy 0.7500 0.4603 0.7621  7 Cl 2.67-2.74
Dy 0.7500 0.0397 0.2621  7 Cl 2.67-2.74
Dy 0.2500 0.9603 0.7379  7 Cl 2.67-2.74
Cl 0.9903 0.4607 0.3706  2 Dy 2.67-2.69
Cl 0.4903 0.5393 0.6294  2 Dy 2.67-2.69
Cl 0.0097 0.9607 0.1294  2 Dy 2.67-2.69
Cl 0.5097 0.0393 0.8706  2 Dy 2.67-2.69
Cl 0.0097 0.5393 0.6294  2 Dy 2.67-2.69
Cl 0.5097 0.4607 0.3706  2 Dy 2.67-2.69
Cl 0.9903 0.0393 0.8706  2 Dy 2.67-2.69
Cl 0.4903 0.9607 0.1294  2 Dy 2.67-2.69
Cl 0.0101 0.4217 0.1218  2 Dy 2.66-2.68
Cl 0.5101 0.5783 0.8782  2 Dy 2.66-2.68
Cl 0.9899 0.9217 0.3782  2 Dy 2.66-2.68
Cl 0.4899 0.0783 0.6218  2 Dy 2.66-2.68
Cl 0.2500 0.6888 0.3920  2 Dy 2.70-2.74
Cl 0.7500 0.3112 0.6080  2 Dy 2.70-2.74
Cl 0.7500 0.1888 0.1080  2 Dy 2.70-2.74
Cl 0.2500 0.8112 0.8920  2 Dy 2.70-2.74
Cl 0.4943 0.6928 0.1744  2 Dy 2.67-2.68
Cl 0.9943 0.3072 0.8256  2 Dy 2.67-2.68
Cl 0.5057 0.1928 0.3256  2 Dy 2.67-2.68
Cl 0.0057 0.8072 0.6744  2 Dy 2.67-2.68
Cl 0.5057 0.3072 0.8256  2 Dy 2.67-2.68
Cl 0.0057 0.6928 0.1744  2 Dy 2.67-2.68
Cl 0.4943 0.8072 0.6744  2 Dy 2.67-2.68
Cl 0.9943 0.1928 0.3256  2 Dy 2.67-2.68
Cl 0.5101 0.9217 0.3782  2 Dy 2.66-2.68
Cl 0.0101 0.0783 0.6218  2 Dy 2.66-2.68
Cl 0.4899 0.4217 0.1218  2 Dy 2.66-2.68
Cl 0.9899 0.5783 0.8782  2 Dy 2.66-2.68

***

(8)
The following is a DFT calculation (PBEsol) of a relaxed KEr2Cl7 crystal.

Total DFT energy (no corrections)   -189.93 eV/cell
Space group   P2_1/c

Unit cell a=6.7757 b=12.2843 c=12.8878 alpha=90.00 beta=89.06 gamma=90.00
Closest atoms and distances in Å follow each position.
Fractional positions:
K 0.2014 0.2087 0.0312  7 Cl 3.20-3.52
K 0.7986 0.7913 0.9688  7 Cl 3.20-3.52
K 0.7986 0.7087 0.4688  7 Cl 3.20-3.52
K 0.2014 0.2913 0.5312  7 Cl 3.20-3.52
Er 0.2215 0.5355 0.2398  7 Cl 2.63-2.71
Er 0.7785 0.4645 0.7602  7 Cl 2.63-2.71
Er 0.7785 0.0355 0.2602  7 Cl 2.63-2.71
Er 0.2215 0.9645 0.7398  7 Cl 2.63-2.71
Er 0.2785 0.8383 0.2456  7 Cl 2.64-2.68
Er 0.7215 0.1617 0.7544  7 Cl 2.64-2.68
Er 0.7215 0.3383 0.2544  7 Cl 2.64-2.68
Er 0.2785 0.6617 0.7456  7 Cl 2.64-2.68
Cl 0.0616 0.9703 0.1287  2 Er 2.66-2.67
Cl 0.9384 0.0297 0.8713  2 Er 2.66-2.67
Cl 0.9384 0.4703 0.3713  2 Er 2.66-2.67
Cl 0.0616 0.5297 0.6287  2 Er 2.66-2.67
Cl 0.2569 0.6849 0.3932  2 Er 2.68-2.71
Cl 0.7431 0.3151 0.6068  2 Er 2.68-2.71
Cl 0.7431 0.1849 0.1068  2 Er 2.68-2.71
Cl 0.2569 0.8151 0.8932  2 Er 2.68-2.71
Cl 0.4816 0.6747 0.1646  2 Er 2.63-2.64
Cl 0.5184 0.3253 0.8354  2 Er 2.63-2.64
Cl 0.5184 0.1747 0.3354  2 Er 2.63-2.64
Cl 0.4816 0.8253 0.6646  2 Er 2.63-2.64
Cl 0.0295 0.9300 0.3795  2 Er 2.64-2.65
Cl 0.9705 0.0700 0.6205  2 Er 2.64-2.65
Cl 0.9705 0.4300 0.1205  2 Er 2.64-2.65
Cl 0.0295 0.5700 0.8795  2 Er 2.64-2.65
Cl 0.5443 0.9403 0.1257  2 Er 2.64-2.67
Cl 0.4557 0.0597 0.8743  2 Er 2.64-2.67
Cl 0.4557 0.4403 0.3743  2 Er 2.64-2.67
Cl 0.5443 0.5597 0.6257  2 Er 2.64-2.67
Cl 0.9948 0.7029 0.1839  2 Er 2.67
Cl 0.0052 0.2971 0.8161  2 Er 2.67
Cl 0.0052 0.2029 0.3161  2 Er 2.67
Cl 0.9948 0.7971 0.6839  2 Er 2.67
Cl 0.5486 0.9059 0.3758  2 Er 2.64-2.67
Cl 0.4514 0.0941 0.6242  2 Er 2.64-2.67
Cl 0.4514 0.4059 0.1242  2 Er 2.64-2.67
Cl 0.5486 0.5941 0.8758  2 Er 2.64-2.67

***

Computed E_form (uncorrected), in the same sequence as the records: -9.1; -22.5; -20.1; -21.0; -20.8; -18.8; -22.6; -22.4 eV/f.u..
Computed size of the total moment, in the same sequence as the records: 0.0; 0.0; 0.0; 0.0; 0.0; 0.0; 0.0; 0.0 μB per formula unit.